Material: Sm2CoO6
Method: DFT, PBE+U
State: relaxed

The total energy is -60.28 eV per cell.

Geometry as POSCAR:
```
Sm2CoO6
1.0
-2.057 2.581 5.394
2.057 -2.581 5.394
2.057 2.581 -5.394
Sm Co O
2 1 6
Cartesian
0.000 0.000 1.824
0.000 0.000 8.963
0.000 0.000 5.394
2.057 1.316 -1.571
0.000 1.572 0.000
2.057 1.316 1.571
0.000 1.265 3.823
0.000 3.590 0.000
0.000 1.265 6.964
```